[1]
A relaxed structure of Ta2Cu2Se7, computed with PBE-GGA.

crystal system = monoclinic

abc: 7.6267 6.4496 6.4496
angles: 118.22 98.94 98.94
Last column: nearest neighbours and their distance in Å.
Positions (direct):
1 Ta 0.0000 0.6924 0.3076  6 Se 2.52-2.70
2 Ta 0.0000 0.3076 0.6924  6 Se 2.52-2.70
3 Se 0.7979 0.3133 0.3133  1 Cu 2.37, 1 Se 2.57
4 Se 0.2381 0.4647 0.0859  1 Cu 2.40, 2 Ta 2.52-2.67
5 Se 0.7619 0.9141 0.5353  1 Cu 2.40, 2 Ta 2.52-2.67
6 Se 0.7619 0.5353 0.9141  1 Cu 2.40, 2 Ta 2.52-2.67
7 Se 0.5000 0.0000 0.0000  2 Se 2.57
8 Se 0.2381 0.0859 0.4647  1 Cu 2.40, 2 Ta 2.52-2.67
9 Se 0.2021 0.6867 0.6867  1 Cu 2.37, 1 Se 2.57
10 Cu 0.0775 0.2271 0.2271  3 Se 2.37-2.40
11 Cu 0.9225 0.7729 0.7729  3 Se 2.37-2.40

[2]
A relaxed structure of TaCu2Se, computed with PBE-GGA.

crystal system = trigonal

abc: 8.8584 8.8584 8.8584
angles: 18.90 18.90 18.90
Last column: nearest neighbours and their distance in Å.
Positions (direct):
1 Ta 0.7500 0.7500 0.7500  6 Cu 2.77, 6 Ta 2.91
2 Cu 0.9987 0.9987 0.9987  3 Se 2.72, 3 Ta 2.77, 6 Cu 2.91
3 Cu 0.5013 0.5013 0.5013  3 Se 2.72, 3 Ta 2.77, 6 Cu 2.91
4 Se 0.2500 0.2500 0.2500  6 Cu 2.72, 6 Se 2.91

[3]
A relaxed structure of TaCu2Se, computed with PBE-GGA.

crystal system = monoclinic

abc: 3.0618 4.2737 5.5497
angles: 58.23 90.00 90.00
Last column: nearest neighbours and their distance in Å.
Positions (direct):
1 Ta 0.0000 0.0000 0.5000  4 Se 2.63, 6 Cu 2.77-2.89
2 Cu 0.5000 0.5000 0.0000  4 Cu 2.63, 2 Se 2.77, 4 Ta 2.89
3 Cu 0.0000 0.0000 0.0000  4 Cu 2.63, 2 Ta 2.77, 4 Se 2.89
4 Se 0.5000 0.5000 0.5000  4 Ta 2.63, 6 Cu 2.77-2.89

[4]
A relaxed structure of TaCu2Se, computed with PBE-GGA.

crystal system = orthorhombic

abc: 3.1250 4.2345 4.6001
angles: 90.00 90.00 90.00
Last column: nearest neighbours and their distance in Å.
Positions (direct):
1 Cu 0.0000 0.0000 0.0000  4 Cu 2.63, 4 Se 2.78
2 Cu 0.5000 0.5000 0.0000  4 Cu 2.63, 4 Ta 2.78
3 Ta 0.0000 0.5000 0.5000  4 Se 2.63, 4 Cu 2.78
4 Se 0.5000 0.0000 0.5000  4 Ta 2.63, 4 Cu 2.78

[5]
A relaxed structure of TaCuSe2, computed with PBE-GGA.

crystal system = tetragonal

abc: 3.3337 3.3337 7.2381
angles: 90.00 90.00 90.00
Last column: nearest neighbours and their distance in Å.
Positions (direct):
1 Cu 0.5000 0.5000 0.7562  4 Se 2.52
2 Se 0.0000 0.0000 0.8781  4 Cu 2.52, 1 Ta 2.57
3 Se 0.5000 0.5000 0.3421  4 Ta 2.70, 1 Cu 3.00
4 Ta 0.0000 0.0000 0.5236  5 Se 2.57-2.70

[6]
A relaxed structure of TaCuSe2, computed with PBE-GGA.

crystal system = tetragonal

abc: 3.2595 3.2595 6.3581
angles: 90.00 90.00 90.00
Last column: nearest neighbours and their distance in Å.
Positions (direct):
1 Ta 0.5000 0.5000 0.2500  8 Se 2.76
2 Cu 0.5000 0.5000 0.7500  8 Se 2.84, 2 Ta 3.18
3 Se 0.0000 0.0000 0.4878  4 Ta 2.76, 4 Cu 2.84, 1 Se 3.02
4 Se 0.0000 0.0000 0.0122  4 Ta 2.76, 4 Cu 2.84, 1 Se 3.02

[7]
A relaxed structure of TaCu2Se, computed with PBE-GGA.

crystal system = tetragonal

abc: 3.4918 3.4866 6.1890
angles: 55.78 90.00 90.00
Last column: nearest neighbours and their distance in Å.
Positions (direct):
1 Ta 0.5000 0.7500 0.7500  2 Se 2.56, 8 Cu 2.75
2 Cu 0.0000 0.4887 0.5119  2 Cu 2.44-2.68
3 Cu 0.0000 0.0113 0.9881  2 Cu 2.44-2.68
4 Se 0.5000 0.2500 0.2500  2 Ta 2.56, 8 Cu 2.81

[8]
A relaxed structure of Ta3CuSe, computed with PBE-GGA.

crystal system = cubic
energy above the most stable polymorph in this dataset = 0 meV per atom

abc: 4.7013 4.7013 4.7013
angles: 90.00 90.00 90.00
Last column: nearest neighbours and their distance in Å.
Positions (direct):
1 Ta 0.0000 0.0000 0.5000  2 Se 2.35
2 Ta 0.0000 0.5000 0.0000  2 Se 2.35
3 Ta 0.5000 0.0000 0.0000  2 Se 2.35
4 Se 0.0000 0.0000 0.0000  6 Ta 2.35
5 Cu 0.5000 0.5000 0.5000  12 Ta 3.32

[9]
A relaxed structure of TaCuSe4, computed with PBE-GGA.

crystal system = cubic
energy above the most stable polymorph in this dataset = 1297 meV per atom

abc: 5.5143 5.5143 5.5143
angles: 60.00 60.00 60.00
Last column: nearest neighbours and their distance in Å.
Positions (direct):
1 Se 0.3750 0.3750 0.8751  6 Se 2.76
2 Se 0.8751 0.3750 0.3750  6 Se 2.76
3 Se 0.3750 0.3750 0.3750  6 Se 2.76
4 Se 0.3750 0.8751 0.3750  6 Se 2.76
5 Cu 0.0000 0.0000 0.0000  12 Se 3.23, 4 Ta 3.38
6 Ta 0.7500 0.7500 0.7500  12 Se 3.23, 4 Cu 3.38

[10]
A relaxed structure of TaCu2Se, computed with PBE-GGA.

crystal system = tetragonal

abc: 4.9398 4.9398 4.9398
angles: 134.73 134.73 65.96
Last column: nearest neighbours and their distance in Å.
Positions (direct):
1 Se 0.5000 0.5000 0.0000  8 Cu 2.69-2.81, 4 Ta 2.81
2 Ta 0.7500 0.2500 0.5000  8 Cu 2.69-2.81, 4 Se 2.81
3 Cu 0.0000 0.0000 0.0000  4 Se 2.69, 4 Cu 2.81, 4 Ta 2.81
4 Cu 0.2500 0.7500 0.5000  4 Ta 2.69, 4 Se 2.81, 4 Cu 2.81

[11]
A relaxed structure of TaCuSe, computed with PBE-GGA.

crystal system = trigonal
energy above the most stable polymorph in this dataset = 35 meV per atom

abc: 3.1934 3.1934 6.2284
angles: 90.00 90.00 120.00
Last column: nearest neighbours and their distance in Å.
Positions (direct):
1 Se 0.6667 0.3333 0.3666  3 Ta 2.58
2 Ta 0.3333 0.6667 0.6560  3 Se 2.58, 3 Cu 2.72
3 Cu 0.0000 0.0000 0.9774  3 Ta 2.72, 3 Se 3.05

[12]
A relaxed structure of TaCu2Se4, computed with PBE-GGA.

crystal system = tetragonal

abc: 5.7024 5.7750 5.7750
angles: 90.00 90.00 90.00
Last column: nearest neighbours and their distance in Å.
Positions (direct):
1 Se 0.2372 0.7519 0.2481  1 Ta 2.44, 2 Cu 2.45
2 Se 0.7628 0.2481 0.2481  1 Ta 2.44, 2 Cu 2.45
3 Se 0.7628 0.7519 0.7519  1 Ta 2.44, 2 Cu 2.45
4 Se 0.2372 0.2481 0.7519  1 Ta 2.44, 2 Cu 2.45
5 Ta 0.0000 0.0000 0.0000  4 Se 2.44
6 Cu 0.0000 0.0000 0.5000  4 Se 2.45
7 Cu 0.0000 0.5000 0.0000  4 Se 2.45

[13]
A relaxed structure of TaCuSe2, computed with PBE-GGA.

crystal system = trigonal

abc: 8.2918 8.2918 8.2918
angles: 23.89 23.89 23.89
Last column: nearest neighbours and their distance in Å.
Positions (direct):
1 Ta 0.5000 0.5000 0.5000  6 Se 2.61
2 Se 0.0961 0.0961 0.0961  1 Cu 2.32
3 Se 0.9039 0.9039 0.9039  1 Cu 2.32
4 Cu 0.0000 0.0000 0.0000  2 Se 2.32

[14]
A relaxed structure of TaCuSe, computed with PBE-GGA.

crystal system = tetragonal
energy above the most stable polymorph in this dataset = 23 meV per atom

abc: 5.1537 5.1537 3.1994
angles: 71.92 71.92 36.17
Last column: nearest neighbours and their distance in Å.
Positions (direct):
1 Cu 0.9959 0.9959 0.0041  4 Se 2.72, 5 Ta 2.79-3.00
2 Ta 0.6717 0.6717 0.3283  4 Se 2.71, 5 Cu 2.79-3.00
3 Se 0.3323 0.3323 0.6677  4 Ta 2.71, 4 Cu 2.72

[15]
A relaxed structure of TaCuSe2, computed with PBE-GGA.

crystal system = monoclinic

abc: 6.2447 6.2447 3.5202
angles: 89.93 89.93 32.13
Last column: nearest neighbours and their distance in Å.
Positions (direct):
1 Cu 0.2565 0.2565 0.1260  5 Se 2.47-2.64
2 Se 0.7719 0.7719 0.6257  4 Cu 2.47, 2 Ta 2.61
3 Se 0.0362 0.0362 0.1239  1 Cu 2.64, 4 Ta 2.75
4 Ta 0.4354 0.4354 0.6245  6 Se 2.61-2.75, 2 Cu 2.77-2.78

[16]
A relaxed structure of TaCuSe2, computed with PBE-GGA.

crystal system = tetragonal

abc: 5.6318 5.6318 5.6318
angles: 141.42 141.42 55.70
Last column: nearest neighbours and their distance in Å.
Positions (direct):
1 Ta 0.5000 0.5000 0.0000  4 Se 2.63
2 Cu 0.7500 0.2500 0.5000  4 Se 2.63
3 Se 0.2500 0.7500 0.5000  4 Cu 2.63
4 Se 0.0000 0.0000 0.0000  4 Ta 2.63

[17]
A relaxed structure of TaCuSe2, computed with PBE-GGA.

crystal system = tetragonal

abc: 5.8766 5.8766 6.7299
angles: 64.11 64.11 90.00
Last column: nearest neighbours and their distance in Å.
Positions (direct):
1 Se 0.1382 0.6250 0.2500  2 Cu 2.42, 2 Ta 2.51
2 Se 0.8750 0.8618 0.7500  2 Cu 2.42, 2 Ta 2.51
3 Se 0.3750 0.3882 0.7500  2 Cu 2.42, 2 Ta 2.51
4 Se 0.6118 0.1250 0.2500  2 Cu 2.42, 2 Ta 2.51
5 Ta 0.0000 0.0000 0.0000  4 Se 2.51
6 Ta 0.7500 0.2500 0.5000  4 Se 2.51
7 Cu 0.2500 0.7500 0.5000  4 Se 2.42
8 Cu 0.5000 0.5000 0.0000  4 Se 2.42

[18]
A relaxed structure of TaCu2Se, computed with PBE-GGA.

crystal system = monoclinic

abc: 3.2166 3.2166 5.8550
angles: 89.93 90.00 90.00
Last column: nearest neighbours and their distance in Å.
Positions (direct):
1 Se 0.0000 0.3759 0.5084  4 Ta 2.67, 5 Cu 2.80-2.86
2 Cu 0.5000 0.8743 0.2121  4 Cu 2.51, 1 Ta 2.71
3 Cu 0.0000 0.3746 0.0309  4 Cu 2.51, 1 Se 2.80
4 Ta 0.5000 0.8752 0.7486  4 Se 2.67, 5 Cu 2.71-2.81

[19]
A relaxed structure of TaCuSe2, computed with PBE-GGA.

crystal system = orthorhombic

abc: 4.8199 4.8199 4.8199
angles: 134.26 121.00 77.70
Last column: nearest neighbours and their distance in Å.
Positions (direct):
1 Se 0.9631 0.9631 0.0000  2 Cu 2.46
2 Se 0.5369 0.5369 0.0000  2 Cu 2.46
3 Cu 0.7500 0.2500 0.5000  4 Se 2.46
4 Ta 0.2500 0.7500 0.5000  8 Se 2.85-2.86, 4 Cu 3.02

[20]
A relaxed structure of TaCuSe2, computed with PBE-GGA.

crystal system = orthorhombic

abc: 7.2385 7.2385 7.2385
angles: 152.64 151.65 39.80
Last column: nearest neighbours and their distance in Å.
Positions (direct):
1 Cu 0.7818 0.2818 0.5000  4 Se 2.46, 2 Ta 2.66
2 Se 0.0137 0.0137 0.0000  4 Ta 2.73
3 Se 0.2771 0.7771 0.5000  4 Cu 2.46, 2 Ta 2.67
4 Ta 0.4274 0.4274 0.0000  2 Cu 2.66, 6 Se 2.67-2.73

Raw formation energy: -0.356 0.269 0.201 0.212 -0.223 -0.230 0.149 1.184 1.065 0.169 0.000 -0.445 -0.354 -0.011 -0.367 0.217 -0.044 -0.032 0.017 -0.327 (eV/atom)
Spin magnetization: 0.0 0.0 0.0 0.0 0.0 0.0 0.0 0.0 1.2 0.0 0.0 0.0 0.0 0.0 0.0 0.0 0.0 0.0 0.0 0.0 (μB/f.u.)
VASP energy: -0.402 -0.413 -0.418 -0.417 -0.438 -0.438 -0.421 -0.547 -0.288 -0.420 -0.476 -0.390 -0.447 -0.477 -0.448 -0.405 -0.424 -0.435 -0.420 -0.445 (Ry/atom)